# 1
Density functional theory data (GGA-PBE) for a relaxed structure of CaBeCuPt2.

Summary:
* formation energy: 7.894 eV/f.u.

Lattice parameters (Å, degrees): 4.9499 4.7616 4.9499 90.00 90.00 90.00
Last column: nearest neighbours and their distance in Å.
Atoms (fractional coordinates):
Ca1 0.0000 0.0000 0.0000  2 Be 2.38, 4 Pt 2.47
Pt1 0.5000 0.0000 0.0000  2 Ca 2.47
Pt2 0.0000 0.0000 0.5000  2 Ca 2.47
Be1 0.0000 0.5000 0.0000  2 Ca 2.38
Cu1 0.5000 0.5000 0.5000  8 Pt 3.43, 4 Be 3.50



# 2
Density functional theory data (GGA-PBE) for a relaxed structure of CaBeCuRu2.

Summary:
* formation energy: 6.755 eV/f.u.

Lattice parameters (Å, degrees): 4.5568 4.8541 4.5568 90.00 90.00 90.00
Last column: nearest neighbours and their distance in Å.
Atoms (fractional coordinates):
Ru1 0.5000 0.0000 0.0000  2 Cu 2.28
Ru2 0.0000 0.0000 0.5000  2 Cu 2.28
Ca1 0.0000 0.5000 0.0000  2 Cu 2.43
Cu1 0.0000 0.0000 0.0000  4 Ru 2.28, 2 Ca 2.43
Be1 0.5000 0.5000 0.5000  4 Ca 3.22, 8 Ru 3.33



# 3
Density functional theory data (GGA-PBE) for a relaxed structure of SrCaBe2Cu.

Summary:
* formation energy: 2.729 eV/f.u.

Lattice parameters (Å, degrees): 4.6151 5.2077 4.6151 90.00 90.00 90.00
Last column: nearest neighbours and their distance in Å.
Atoms (fractional coordinates):
Sr1 0.0000 0.5000 0.0000  2 Cu 2.60
Ca1 0.5000 0.5000 0.5000  4 Sr 3.26, 8 Be 3.48
Be1 0.0000 0.0000 0.5000  2 Cu 2.31
Be2 0.5000 0.0000 0.0000  2 Cu 2.31
Cu1 0.0000 0.0000 0.0000  4 Be 2.31



# 4
Density functional theory data (GGA-PBE) for a relaxed structure of Ca2Be3ZnCu12.

Summary:
* formation energy: 6.161 eV/f.u.

Lattice parameters (Å, degrees): 7.3012 7.3012 7.3012 62.61 62.61 62.61
Last column: nearest neighbours and their distance in Å.
Atoms (fractional coordinates):
Cu1 0.9085 0.3397 0.3397  2 Be 2.12
Cu2 0.6132 0.1254 0.1254  1 Be 2.13, 1 Zn 2.38
Cu3 0.1254 0.1254 0.6132  1 Be 2.13, 1 Zn 2.38
Cu4 0.6603 0.0915 0.6603  2 Be 2.12
Cu5 0.0915 0.6603 0.6603  2 Be 2.12
Cu6 0.3868 0.8746 0.8746  1 Be 2.13, 1 Zn 2.38
Cu7 0.3397 0.9085 0.3397  2 Be 2.12
Cu8 0.8746 0.8746 0.3868  1 Be 2.13, 1 Zn 2.38
Cu9 0.8746 0.3868 0.8746  1 Be 2.13, 1 Zn 2.38
Cu10 0.6603 0.6603 0.0915  2 Be 2.12
Cu11 0.1254 0.6132 0.1254  1 Be 2.13, 1 Zn 2.38
Cu12 0.3397 0.3397 0.9085  2 Be 2.12
Be1 0.5000 0.0000 0.0000  6 Cu 2.12-2.13
Be2 0.0000 0.5000 0.0000  6 Cu 2.12-2.13
Be3 0.0000 0.0000 0.5000  6 Cu 2.12-2.13
Zn1 0.0000 0.0000 0.0000  6 Cu 2.38
Ca1 0.6046 0.6046 0.6046  6 Cu 2.82-2.85
Ca2 0.3954 0.3954 0.3954  6 Cu 2.82-2.85



# 5
Density functional theory data (GGA-PBE) for a relaxed structure of Ca2BeZnCu6.

Summary:
* formation energy: 0.886 eV/f.u.

Lattice parameters (Å, degrees): 6.2594 6.2594 6.2594 60.00 60.00 90.00
Last column: nearest neighbours and their distance in Å.
Atoms (fractional coordinates):
Be1 0.5000 0.5000 0.0000  6 Cu 2.07
Cu1 0.2667 0.2667 0.0000  1 Be 2.07
Cu2 0.7333 0.7333 0.0000  1 Be 2.07
Cu3 0.7333 0.7333 0.5334  1 Be 2.07
Cu4 0.2667 0.2667 0.4666  1 Be 2.07
Cu5 0.2667 0.7333 0.0000  1 Be 2.07
Cu6 0.7333 0.2667 0.0000  1 Be 2.07
Ca1 0.2500 0.7500 0.5000  12 Cu 3.13
Ca2 0.7500 0.2500 0.5000  12 Cu 3.13
Zn1 0.0000 0.0000 0.0000  6 Cu 2.36



# 6
Density functional theory data (GGA-PBE) for a relaxed structure of CaBeZn6Cu.

Summary:
* formation energy: 0.868 eV/f.u.

Lattice parameters (Å, degrees): 6.6846 8.3022 7.7163 122.55 115.67 90.00
Last column: nearest neighbours and their distance in Å.
Atoms (fractional coordinates):
Zn1 0.0804 0.8941 0.7618  1 Be 2.41, 1 Cu 2.47, 2 Zn 2.67
Zn2 0.0173 0.2673 0.0346  8 Zn 2.80-2.82
Zn3 0.4169 0.1669 0.8339  2 Be 2.27, 2 Cu 2.50
Zn4 0.6813 0.3677 0.7618  1 Be 2.41, 1 Cu 2.47, 2 Zn 2.67
Zn5 0.9196 0.1059 0.2382  1 Be 2.41, 1 Cu 2.47, 2 Zn 2.67
Zn6 0.9196 0.6323 0.2382  1 Be 2.41, 1 Cu 2.47, 2 Zn 2.67
Zn7 0.0804 0.3677 0.7618  1 Be 2.41, 1 Cu 2.47, 2 Zn 2.67
Zn8 0.9827 0.7327 0.9654  8 Zn 2.80-2.82
Zn9 0.6813 0.8941 0.7618  1 Be 2.41, 1 Cu 2.47, 2 Zn 2.67
Zn10 0.3187 0.1059 0.2382  1 Be 2.41, 1 Cu 2.47, 2 Zn 2.67
Zn11 0.3187 0.6323 0.2382  1 Be 2.41, 1 Cu 2.47, 2 Zn 2.67
Zn12 0.5831 0.8331 0.1661  2 Be 2.27, 2 Cu 2.50
Be1 0.5000 0.5000 0.0000  6 Zn 2.27-2.41
Be2 0.5000 0.0000 0.0000  6 Zn 2.27-2.41
Ca1 0.3030 0.5530 0.6060  2 Be 3.02, 10 Zn 3.09-3.28
Ca2 0.6970 0.4470 0.3940  2 Be 3.02, 10 Zn 3.09-3.28
Cu1 0.5000 0.0000 0.5000  6 Zn 2.47-2.50
Cu2 0.0000 0.0000 0.5000  6 Zn 2.47-2.50



# 7
Density functional theory data (GGA-PBE) for a relaxed structure of Ca2BeZn12Cu3.

Summary:
* formation energy: 1.156 eV/f.u.

Lattice parameters (Å, degrees): 9.4790 9.4790 9.4790 40.47 40.47 40.47
Last column: nearest neighbours and their distance in Å.
Atoms (fractional coordinates):
Be1 0.0000 0.0000 0.0000  6 Zn 2.39
Zn1 0.5829 0.5829 0.1885  2 Cu 2.47, 4 Zn 2.59
Zn2 0.0669 0.0669 0.6574  1 Be 2.39, 1 Cu 2.55, 2 Zn 2.59
Zn3 0.4171 0.8115 0.4171  2 Cu 2.47, 4 Zn 2.59
Zn4 0.9331 0.9331 0.3426  1 Be 2.39, 1 Cu 2.55, 2 Zn 2.59
Zn5 0.1885 0.5829 0.5829  2 Cu 2.47, 4 Zn 2.59
Zn6 0.9331 0.3426 0.9331  1 Be 2.39, 1 Cu 2.55, 2 Zn 2.59
Zn7 0.8115 0.4171 0.4171  2 Cu 2.47, 4 Zn 2.59
Zn8 0.5829 0.1885 0.5829  2 Cu 2.47, 4 Zn 2.59
Zn9 0.6574 0.0669 0.0669  1 Be 2.39, 1 Cu 2.55, 2 Zn 2.59
Zn10 0.0669 0.6574 0.0669  1 Be 2.39, 1 Cu 2.55, 2 Zn 2.59
Zn11 0.4171 0.4171 0.8115  2 Cu 2.47, 4 Zn 2.59
Zn12 0.3426 0.9331 0.9331  1 Be 2.39, 1 Cu 2.55, 2 Zn 2.59
Ca1 0.3470 0.3470 0.3470  6 Zn 3.10-3.12
Ca2 0.6530 0.6530 0.6530  6 Zn 3.10-3.12
Cu1 0.0000 0.5000 0.0000  6 Zn 2.47-2.55
Cu2 0.5000 0.0000 0.0000  6 Zn 2.47-2.55
Cu3 0.0000 0.0000 0.5000  6 Zn 2.47-2.55



# 8
Density functional theory data (GGA-PBE) for a relaxed structure of Ca2BeZn3Cu12.

Summary:
* formation energy: 2.547 eV/f.u.

Lattice parameters (Å, degrees): 9.1854 9.1854 9.1854 40.12 40.12 40.12
Last column: nearest neighbours and their distance in Å.
Atoms (fractional coordinates):
Be1 0.0000 0.0000 0.0000  6 Cu 2.26
Cu1 0.5783 0.1901 0.5783  2 Zn 2.43, 4 Cu 2.45-2.51
Cu2 0.1901 0.5783 0.5783  2 Zn 2.43, 4 Cu 2.45-2.51
Cu3 0.4217 0.4217 0.8099  2 Zn 2.43, 4 Cu 2.45-2.51
Cu4 0.0639 0.6662 0.0639  1 Be 2.26, 4 Cu 2.51, 1 Zn 2.51
Cu5 0.9361 0.9361 0.3338  1 Be 2.26, 4 Cu 2.51, 1 Zn 2.51
Cu6 0.5783 0.5783 0.1901  2 Zn 2.43, 4 Cu 2.45-2.51
Cu7 0.6662 0.0639 0.0639  1 Be 2.26, 4 Cu 2.51, 1 Zn 2.51
Cu8 0.0639 0.0639 0.6662  1 Be 2.26, 4 Cu 2.51, 1 Zn 2.51
Cu9 0.9361 0.3338 0.9361  1 Be 2.26, 4 Cu 2.51, 1 Zn 2.51
Cu10 0.4217 0.8099 0.4217  2 Zn 2.43, 4 Cu 2.45-2.51
Cu11 0.3338 0.9361 0.9361  1 Be 2.26, 4 Cu 2.51, 1 Zn 2.51
Cu12 0.8099 0.4217 0.4217  2 Zn 2.43, 4 Cu 2.45-2.51
Ca1 0.6552 0.6552 0.6552  6 Cu 2.98-2.99
Ca2 0.3448 0.3448 0.3448  6 Cu 2.98-2.99
Zn1 0.0000 0.5000 0.0000  6 Cu 2.43-2.51
Zn2 0.5000 0.0000 0.0000  6 Cu 2.43-2.51
Zn3 0.0000 0.0000 0.5000  6 Cu 2.43-2.51



# 9
Density functional theory data (GGA-PBE) for a relaxed structure of SrCaDy4Be2O10.

Summary:
* raw formation energy: -57.33 eV/f.u.

Lattice parameters (Å, degrees): 7.0386 6.3990 9.3511 89.64 90.00 90.00
Last column: nearest neighbours and their distance in Å.
Atoms (fractional coordinates):
Be1 0.2531 0.3098 0.3995  4 O 1.60-1.70
Be2 0.2494 0.1977 0.8953  4 O 1.60-1.70
Be3 0.7494 0.8023 0.1047  4 O 1.60-1.70
Be4 0.7531 0.6902 0.6005  4 O 1.60-1.70
Dy1 0.7526 0.4059 0.9786  7 O 2.25-2.48
Dy2 0.4642 0.4349 0.6680  6 O 2.32-2.57
Dy3 0.2526 0.5941 0.0214  7 O 2.25-2.48
Dy4 0.9795 0.9266 0.8198  7 O 2.29-2.53
Dy5 0.2538 0.9036 0.5199  7 O 2.25-2.52
Dy6 0.7538 0.0964 0.4801  7 O 2.25-2.52
Dy7 0.9642 0.5651 0.3320  6 O 2.32-2.57
Dy8 0.4795 0.0734 0.1802  7 O 2.29-2.53
O1 0.7417 0.3366 0.2242  3 Dy 2.34-2.53, 1 Ca 2.43, 1 Sr 2.60
O2 0.2473 0.5256 0.4909  1 Be 1.63
O3 0.0553 0.3147 0.9320  1 Be 1.60
O4 0.2393 0.1387 0.7185  1 Be 1.70
O5 0.4451 0.1841 0.4376  1 Be 1.61
O6 0.4464 0.3249 0.9167  1 Be 1.62
O7 0.2702 0.8424 0.2821  2 Dy 2.26-2.29, 1 Ca 2.42, 1 Sr 2.53
O8 0.0517 0.2008 0.4295  1 Be 1.60
O9 0.9451 0.8159 0.5624  1 Be 1.61
O10 0.2636 0.3672 0.2224  1 Be 1.70
O11 0.7393 0.8613 0.2815  1 Be 1.70
O12 0.5553 0.6853 0.0680  1 Be 1.60
O13 0.2417 0.6634 0.7758  3 Dy 2.34-2.53, 1 Ca 2.43, 1 Sr 2.60
O14 0.9464 0.6751 0.0833  1 Be 1.62
O15 0.5517 0.7992 0.5705  1 Be 1.60
O16 0.7473 0.4744 0.5091  1 Be 1.63
O17 0.7636 0.6328 0.7776  1 Be 1.70
O18 0.7510 0.0215 0.0111  1 Be 1.65
O19 0.2510 0.9785 0.9889  1 Be 1.65
O20 0.7702 0.1576 0.7179  2 Dy 2.26-2.29, 1 Ca 2.42, 1 Sr 2.53
Sr1 0.5211 0.9195 0.8252  8 O 2.47-2.72, 1 Be 2.70
Sr2 0.0211 0.0805 0.1748  8 O 2.47-2.72, 1 Be 2.70
Ca1 0.5149 0.5838 0.3226  7 O 2.41-2.49, 1 Be 2.64
Ca2 0.0149 0.4162 0.6774  7 O 2.41-2.49, 1 Be 2.64



# 10
Density functional theory data (GGA-PBE) for a relaxed structure of CaErBe2Ge2.

Summary:
* formation energy: -3.245 eV/f.u.

Lattice parameters (Å, degrees): 3.9364 3.9364 8.2838 90.00 90.00 120.00
Last column: nearest neighbours and their distance in Å.
Atoms (fractional coordinates):
Er1 0.0000 0.0000 0.5000  6 Be 2.97, 6 Ge 3.01
Ge1 0.6667 0.3333 0.7389  3 Be 2.27
Ge2 0.3333 0.6667 0.2611  3 Be 2.27
Ca1 0.0000 0.0000 0.0000  6 Ge 3.14, 6 Be 3.18
Be1 0.6667 0.3333 0.2692  3 Ge 2.27
Be2 0.3333 0.6667 0.7308  3 Ge 2.27



# 11
Density functional theory data (GGA-PBE) for a relaxed structure of CaErBeN2.

Summary:
* raw formation energy: -4.52 eV/f.u.

Lattice parameters (Å, degrees): 5.1009 5.0347 6.4783 90.02 90.00 90.00
Last column: nearest neighbours and their distance in Å.
Atoms (fractional coordinates):
N1 0.2372 0.1927 0.0000  1 Be 1.55
N2 0.2372 0.8073 0.5000  1 Be 1.55
N3 0.7628 0.1927 0.5000  1 Be 1.55
N4 0.7628 0.8073 0.0000  1 Be 1.55
Er1 0.5001 0.0000 0.7500  4 N 2.32
Er2 0.4999 0.0000 0.2500  4 N 2.32
Be1 0.0000 0.0000 0.0000  2 N 1.55
Be2 0.0000 0.0000 0.5000  2 N 1.55
Ca1 0.0003 0.5000 0.7500  4 N 2.55
Ca2 0.9997 0.5000 0.2500  4 N 2.55